Computed, not measured: a relaxed structure of Al3ZnNi at the PBE-GGA level of DFT.

CIF file:
```
data_Al3ZnNi
_cell_length_a 4.515
_cell_length_b 4.515
_cell_length_c 4.515
_cell_angle_alpha 90.00
_cell_angle_beta 90.00
_cell_angle_gamma 90.00
_space_group_name_H-M_alt 'P 1'
_space_group_IT_number 1
loop_
_space_group_symop_operation_xyz
'x,y,z'
loop_
_atom_site_label
_atom_site_fract_x
_atom_site_fract_y
_atom_site_fract_z
Ni1 0.000 0.000 0.000
Zn1 0.500 0.500 0.500
Al1 0.000 0.500 0.000
Al2 0.000 0.000 0.500
Al3 0.500 0.000 0.000
```

Properties
DOS(E_F) (states/eV/f.u.): 1.3
Calculated formation energy (eV per atom): -0.004
Volume (Å³/cell): 92
Uncorrected energy (eV per cell): -18.302